(1)
Entry from the Alexandria database: TaCd2SnC after structural relaxation (PBE-GGA).

## Properties
total DFT energy (no corrections)	-4.339	eV/atom
calculated volume	125.9	Å³/cell
E_form	5.22	eV/f.u.

Lattice parameters (Å, degrees): 5.5744 5.5744 4.0514 90.00 90.00 90.00
Last column: nearest neighbours and their distance in Å.
Space group P4/mmm (No. 123)
Symmetry-distinct sites (fractional):
Ta  0.0000  0.0000  0.0000 x1  2 C 2.03
Cd  0.0000  0.5000  0.0000 x2  2 Ta 2.79
Sn  0.5000  0.5000  0.5000 x1  8 Cd 3.45
C  0.0000  0.0000  0.5000 x1  2 Ta 2.03

(2)
Entry from the Alexandria database: TbPmTlZn after structural relaxation (PBE-GGA).

## Properties
excess energy over the best structure of this formula in the dataset	0.00	kcal/mol of atoms
total DFT energy (no corrections)	-3.611	eV/atom
calculated volume	104.3	Å³/cell
E_form	-1.42	eV/f.u.

Lattice parameters (Å, degrees): 3.7128 3.7128 7.5686 90.00 90.00 90.00
Last column: nearest neighbours and their distance in Å.
Space group P4mm (No. 99)
Symmetry-distinct sites (fractional):
Tb  0.0000  0.0000  0.0000 x1  4 Zn 3.10, 4 Tl 3.30, 1 Pm 3.45
Pm  0.0000  0.0000  0.4556 x1  4 Zn 3.19, 4 Tl 3.38, 1 Tb 3.45
Tl  0.5000  0.5000  0.7360 x1  4 Tb 3.30, 4 Pm 3.38, 1 Zn 3.64
Zn  0.5000  0.5000  0.2169 x1  4 Tb 3.10, 4 Pm 3.19

(3)
Entry from the Alexandria database: AlRu2Cl after structural relaxation (PBE-GGA).

## Properties
excess energy over the best structure of this formula in the dataset	17.10	kcal/mol of atoms
total DFT energy (no corrections)	-5.399	eV/atom
energy relative to the elements, uncorrected	0.6362	eV/atom
calculated volume	246.3	Å³/cell

Lattice parameters (Å, degrees): 6.2681 6.2681 6.2681 90.00 90.00 90.00
Last column: nearest neighbours and their distance in Å.
Space group F-43m (No. 216)
Symmetry-distinct sites (fractional):
Al  0.0000  0.0000  0.0000 x4  4 Cl 2.71, 4 Ru 2.71
Ru  0.0000  0.0000  0.5000 x4  4 Ru 2.71, 4 Cl 2.71
Ru  0.2500  0.2500  0.7500 x4  4 Ru 2.71, 4 Al 2.71
Cl  0.2500  0.2500  0.2500 x4  4 Ru 2.71, 4 Al 2.71

(4)
Entry from the Alexandria database: Ba3Ga2Pb2Au4 after structural relaxation (PBE-GGA).

## Properties
total DFT energy (no corrections)	-3.426	eV/atom
calculated volume	334.8	Å³/cell
E_form	-5.34	eV/f.u.

Lattice parameters (Å, degrees): 4.7436 4.7436 17.1826 90.00 90.00 120.00
Last column: nearest neighbours and their distance in Å.
Space group P-3m1 (No. 164)
Symmetry-distinct sites (fractional):
Ba  0.0000  0.0000  0.0000 x1  6 Au 3.54, 6 Ga 3.57
Ba  0.0000  0.0000  0.2628 x2  6 Au 3.40-3.56, 3 Ga 3.53
Ga  0.3333  0.6667  0.1336 x2  3 Au 2.74
Pb  0.3333  0.6667  0.5603 x2  4 Au 2.93-3.10
Au  0.3333  0.6667  0.3799 x2  4 Pb 2.93-3.10
Au  0.3333  0.6667  0.8692 x2  3 Ga 2.74

(5)
Entry from the Alexandria database: MnZnNi after structural relaxation (PBE-GGA).

## Properties
total DFT energy (no corrections)	-5.459	eV/atom
calculated volume	76.9	Å³/cell
E_form	-0.15	eV/f.u.

Lattice parameters (Å, degrees): 2.7816 2.7816 9.9433 90.00 90.00 90.00
Last column: nearest neighbours and their distance in Å.
Space group I4mm (No. 107)
Symmetry-distinct sites (fractional):
Mn  0.0000  0.0000  0.0000 x2  4 Ni 2.50, 4 Zn 2.68, 4 Mn 2.78
Zn  0.0000  0.0000  0.3162 x2  4 Ni 2.53, 4 Mn 2.68, 4 Zn 2.78
Ni  0.0000  0.0000  0.6554 x2  4 Mn 2.50, 4 Zn 2.53, 4 Ni 2.78

(6)
Entry from the Alexandria database: Zn2PIr after structural relaxation (PBE-GGA).

## Properties
total DFT energy (no corrections)	-4.207	eV/atom
calculated volume	58.1	Å³/cell
E_form	-0.01	eV/f.u.

Lattice parameters (Å, degrees): 2.9821 3.6414 5.3539 90.00 90.00 90.00
Last column: nearest neighbours and their distance in Å.
Space group Pmm2 (No. 25)
Symmetry-distinct sites (fractional):
Zn  0.0000  0.0000  0.0000 x1  2 Ir 2.60-2.76, 4 Zn 2.64, 4 P 2.88
Zn  0.5000  0.5000  0.2225 x1  1 P 2.50, 4 Zn 2.64
P  0.5000  0.5000  0.6892 x1  1 Zn 2.50, 4 Ir 2.53
Ir  0.0000  0.0000  0.5151 x1  4 P 2.53, 6 Zn 2.60-2.83

(7)
Entry from the Alexandria database: Li2IrW after structural relaxation (PBE-GGA).

## Properties
total DFT energy (no corrections)	-6.267	eV/atom
calculated volume	126.5	Å³/cell
E_form	0.58	eV/f.u.

Lattice parameters (Å, degrees): 2.9263 4.5657 9.4676 90.00 90.00 90.00
Last column: nearest neighbours and their distance in Å.
Space group Cmm2 (No. 35)
Symmetry-distinct sites (fractional):
Li  0.0000  0.0000  0.0000 x2  8 Li 2.71-3.02, 2 W 2.84
Li  0.0000  0.5000  0.2786 x2  2 Ir 2.63, 6 Li 2.71-2.93
Ir  0.0000  0.0000  0.5093 x2  2 Li 2.63, 2 W 2.65, 6 Ir 2.71-2.93
W  0.0000  0.5000  0.7432 x2  2 Ir 2.65, 6 W 2.71-2.93, 2 Li 2.84

(8)
Entry from the Alexandria database: Ac6GeN3 after structural relaxation (PBE-GGA).

## Properties
total DFT energy (no corrections)	-6.004	eV/atom
energy relative to the elements, uncorrected	-0.5798	eV/atom
calculated volume	577.7	Å³/cell

Lattice parameters (Å, degrees): 9.9347 14.0135 4.1495 90.00 90.00 90.00
Last column: nearest neighbours and their distance in Å.
Space group Cmmm (No. 65)
Symmetry-distinct sites (fractional):
Ac  0.0000  0.1740  0.0000 x4  2 N 2.70
Ac  0.1805  0.3711  0.5000 x8  3 N 2.54-2.77
Ge  0.0000  0.0000  0.5000 x2  4 Ac 3.20
N  0.0000  0.5000  0.5000 x2  4 Ac 2.54
N  0.2500  0.2500  0.0000 x4  6 Ac 2.70-2.77

(9)
Entry from the Alexandria database: Ta2O7 after structural relaxation (PBE-GGA).

## Properties
total DFT energy (no corrections)	-8.074	eV/atom
energy relative to the elements, uncorrected	-1.5838	eV/atom
calculated volume	1209.1	Å³/cell

Lattice parameters (Å, degrees): 10.6534 10.6534 10.6534 90.00 90.00 90.00
Last column: nearest neighbours and their distance in Å.
Space group Fd-3m (No. 227, origin choice 2)
Symmetry-distinct sites (fractional):
Ta  0.0000  0.0000  0.0000 x16  6 O 1.99
O  0.0589  0.3750  0.3750 x48  2 Ta 1.99
O  0.1250  0.1250  0.6250 x8  6 O 3.37

(10)
Entry from the Alexandria database: Ce2RhN after structural relaxation (PBE-GGA).

## Properties
excess energy over the best structure of this formula in the dataset	0.00	kcal/mol of atoms
total DFT energy (no corrections)	-7.835	eV/atom
energy relative to the elements, uncorrected	-0.9487	eV/atom
calculated volume	321.4	Å³/cell

Lattice parameters (Å, degrees): 5.7367 5.4382 11.2714 90.00 113.93 90.00
Last column: nearest neighbours and their distance in Å.
Space group P2/c (No. 13)
Symmetry-distinct sites (fractional):
Ce  0.0569  0.2363  0.0969 x4  2 N 2.34-2.41
Ce  0.3336  0.2929  0.8477 x4  2 N 2.35-2.41
Rh  0.4138  0.2083  0.3624 x4  6 Ce 2.75-3.03, 1 Rh 3.07
N  0.0477  0.3237  0.6221 x4  4 Ce 2.34-2.41

(11)
Entry from the Alexandria database: Ca2HSeS after structural relaxation (PBE-GGA).

## Properties
excess energy over the best structure of this formula in the dataset	0.94	kcal/mol of atoms
total DFT energy (no corrections)	-4.340	eV/atom
calculated volume	103.8	Å³/cell

Lattice parameters (Å, degrees): 4.1956 4.2398 5.8329 90.00 90.00 90.00
Last column: nearest neighbours and their distance in Å.
Space group Pmmm (No. 47)
Symmetry-distinct sites (fractional):
Ca  0.0000  0.0000  0.0000 x1  2 H 2.12
Ca  0.5000  0.5000  0.5000 x1  2 Se 2.92, 4 S 2.98
H  0.0000  0.5000  0.0000 x1  2 Se 2.10, 2 Ca 2.12
Se  0.5000  0.5000  0.0000 x1  2 H 2.10
S  0.0000  0.0000  0.5000 x1  6 Ca 2.92-2.98

(12)
Entry from the Alexandria database: Y2Tc2Ir after structural relaxation (PBE-GGA).

## Properties
total DFT energy (no corrections)	-8.637	eV/atom
calculated volume	204.8	Å³/cell
E_form	-0.66	eV/f.u.

Lattice parameters (Å, degrees): 6.6896 6.6896 4.5765 90.00 90.00 90.00
Last column: nearest neighbours and their distance in Å.
Space group P4/mbm (No. 127)
Symmetry-distinct sites (fractional):
Y  0.1816  0.3184  0.0000 x4  6 Tc 2.94-3.09
Tc  0.1227  0.6227  0.5000 x4  1 Tc 2.32
Ir  0.0000  0.0000  0.5000 x2  4 Tc 2.65

(13)
Entry from the Alexandria database: CaZn3Cu after structural relaxation (PBE-GGA).

## Properties
excess energy over the best structure of this formula in the dataset	0.11	kcal/mol of atoms
total DFT energy (no corrections)	-2.172	eV/atom
calculated volume	358.2	Å³/cell
E_form	-0.94	eV/f.u.

Lattice parameters (Å, degrees): 5.9102 11.9975 5.0513 90.00 90.00 90.00
Last column: nearest neighbours and their distance in Å.
Space group Cmcm (No. 63)
Symmetry-distinct sites (fractional):
Ca  0.0000  0.1056  0.2500 x4  8 Zn 3.04-3.25
Zn  0.0000  0.3123  0.7500 x4  2 Zn 2.55, 2 Cu 2.58
Zn  0.2266  0.3524  0.2500 x8  2 Zn 2.55-2.68, 2 Cu 2.55
Cu  0.0000  0.5000  0.0000 x4  2 Cu 2.53, 6 Zn 2.55-2.58

(14)
Entry from the Alexandria database: Na2ZnCl4 after structural relaxation (PBE-GGA).

## Properties
excess energy over the best structure of this formula in the dataset	3.57	kcal/mol of atoms
total DFT energy (no corrections)	-3.007	eV/atom
energy relative to the elements, uncorrected	-1.3925	eV/atom
calculated volume	345.6	Å³/cell

Lattice parameters (Å, degrees): 4.9853 4.9853 13.9072 90.00 90.00 90.00
Last column: nearest neighbours and their distance in Å.
Space group I4/mmm (No. 139)
Symmetry-distinct sites (fractional):
Na  0.0000  0.0000  0.1347 x4  1 Cl 2.69
Zn  0.0000  0.0000  0.5000 x2  6 Cl 2.39-2.49
Cl  0.0000  0.0000  0.3283 x4  1 Zn 2.39
Cl  0.0000  0.5000  0.0000 x4  2 Zn 2.49

(15)
Entry from the Alexandria database: TaTl2 after structural relaxation (PBE-GGA).

## Properties
excess energy over the best structure of this formula in the dataset	7.15	kcal/mol of atoms
total DFT energy (no corrections)	-4.750	eV/atom
calculated volume	213.6	Å³/cell
E_form	2.34	eV/f.u.

Lattice parameters (Å, degrees): 8.9421 8.9421 3.0841 90.00 90.00 120.00
Last column: nearest neighbours and their distance in Å.
Space group P-62m (No. 189)
Symmetry-distinct sites (fractional):
Ta  0.0000  0.0000  0.0000 x1  6 Tl 2.92, 2 Ta 3.08
Ta  0.3333  0.6667  0.5000 x2  2 Ta 3.08, 9 Tl 3.12-3.26
Tl  0.0000  0.2771  0.5000 x3  4 Ta 2.92-3.26, 4 Tl 3.08-3.20
Tl  0.0000  0.5911  0.0000 x3  4 Tl 3.08-3.20, 4 Ta 3.12

(16)
Entry from the Alexandria database: P3PdF after structural relaxation (PBE-GGA).

## Properties
total DFT energy (no corrections)	-3.890	eV/atom
energy relative to the elements, uncorrected	0.7690	eV/atom
calculated volume	102.6	Å³/cell

Lattice parameters (Å, degrees): 4.6811 4.6811 4.6811 90.00 90.00 90.00
Last column: nearest neighbours and their distance in Å.
Space group Pm-3m (No. 221)
Symmetry-distinct sites (fractional):
P  0.0000  0.0000  0.5000 x3  2 Pd 2.34
Pd  0.0000  0.0000  0.0000 x1  6 P 2.34
F  0.5000  0.5000  0.5000 x1  12 P 3.31

(17)
Entry from the Alexandria database: BaZnTeO4 after structural relaxation (PBE-GGA).

## Properties
total DFT energy (no corrections)	-4.939	eV/atom
energy relative to the elements, uncorrected	-1.1999	eV/atom
calculated volume	729.2	Å³/cell

Lattice parameters (Å, degrees): 9.0007 9.0007 9.0007 90.00 90.00 90.00
Last column: nearest neighbours and their distance in Å.
Space group F-43m (No. 216)
Symmetry-distinct sites (fractional):
Ba  0.0000  0.0000  0.0000 x4  12 O 3.73, 4 Zn 3.90
Zn  0.2500  0.2500  0.2500 x4  4 O 1.92
Te  0.0000  0.0000  0.5000 x4  4 O 1.98
O  0.1269  0.1269  0.3731 x16  1 Zn 1.92, 1 Te 1.98

(18)
Entry from the Alexandria database: AcPrY3Tm after structural relaxation (PBE-GGA).

## Properties
total DFT energy (no corrections)	-5.411	eV/atom
calculated volume	414.6	Å³/cell
E_form	0.29	eV/f.u.

Lattice parameters (Å, degrees): 8.2022 5.1825 10.2897 90.00 108.59 90.00
Last column: nearest neighbours and their distance in Å.
Space group P2_1/m (No. 11)
Symmetry-distinct sites (fractional):
Ac  0.1670  0.2500  0.2945 x2  3 Tm 3.62-3.67, 8 Y 3.65-3.69, 1 Pr 3.70
Pr  0.4969  0.7500  0.8740 x2  7 Y 3.57-3.67, 2 Tm 3.65, 2 Pr 3.65, 1 Ac 3.70
Y  0.1686  0.7500  0.0405 x2  3 Pr 3.62-3.67, 1 Tm 3.65, 5 Y 3.65-3.72, 3 Ac 3.66-3.68
Y  0.1713  0.2500  0.7909 x2  1 Tm 3.61, 6 Y 3.62-3.72, 3 Pr 3.62-3.65, 2 Ac 3.69
Y  0.1727  0.7500  0.5455 x2  1 Pr 3.57, 5 Y 3.62-3.73, 3 Tm 3.62-3.66, 3 Ac 3.65-3.66
Tm  0.4986  0.2500  0.6252 x2  5 Y 3.61-3.66, 3 Ac 3.62-3.67, 2 Pr 3.65, 2 Tm 3.66